{"formula": "IrBr2", "functional": "PBE-GGA", "state": "relaxed", "crystal_system": "orthorhombic", "space_group": "Cmcm", "dft_energy_ev_per_fu": -11.7, "total_magnetization_mub_per_fu": 0.498, "raw_formation_energy_ev_per_atom": 0.181, "lattice": [[-7.922, 0.395, 3.193], [7.560, -3.691, -1.525], [2.051, 2.212, 4.815]], "species": ["Br", "Br", "Br", "Br", "Ir", "Ir"], "fractional_positions": [[0.408, 0.592, 0.250], [0.208, 0.792, 0.250], [0.592, 0.408, 0.750], [0.792, 0.208, 0.750], [0.808, 0.192, 0.250], [0.192, 0.808, 0.750]]}